Below is a geometry-optimized Cu3CO structure, with properties calculated at the PBE level.

Unit cell a=3.8073 b=3.8073 c=3.8073 alpha=90.00 beta=90.00 gamma=90.00
Closest atoms and distances in Å follow each position.
Atoms (fractional coordinates):
Cu 0.5000 0.0000 0.0000  2 C 1.90
C 0.0000 0.0000 0.0000  6 Cu 1.90
O 0.5000 0.5000 0.5000  12 Cu 2.69
Cu 0.0000 0.5000 0.0000  2 C 1.90
Cu 0.0000 0.0000 0.5000  2 C 1.90

## Properties
E above lowest polymorph: 0.0 meV/atom
Formation energy from raw total energies: 3.15 eV/f.u.
Space group: Pm-3m (221)
D(E_F): 4.07 states/eV/f.u.

Below is a geometry-optimized Cd3CSe structure, with properties calculated at the PBE level.

Unit cell a=5.5305 b=5.5305 c=5.5305 alpha=90.00 beta=90.00 gamma=90.00
Closest atoms and distances in Å follow each position.
Atoms (fractional coordinates):
C 0.5000 0.5000 0.5000  12 Cd 3.91
Cd 0.0000 0.0000 0.5000  2 Se 2.77
Se 0.0000 0.0000 0.0000  6 Cd 2.77
Cd 0.5000 0.0000 0.0000  2 Se 2.77
Cd 0.0000 0.5000 0.0000  2 Se 2.77

## Properties
E above lowest polymorph: 1128.9 meV/atom
Formation energy from raw total energies: 7.73 eV/f.u.
Space group: Pm-3m (221)
D(E_F): 2.82 states/eV/f.u.

Below is a geometry-optimized AlFe2Pt3 structure, with properties calculated at the PBE level.

Unit cell a=3.9355 b=6.2391 c=7.3304 alpha=90.00 beta=90.00 gamma=71.62
Closest atoms and distances in Å follow each position.
Atoms (fractional coordinates):
Pt 0.5000 0.0000 0.2537  2 Al 2.65, 6 Fe 2.67-2.71, 4 Pt 2.79
Fe 0.3317 0.3367 0.5000  8 Pt 2.69-2.73, 4 Fe 2.76-2.80
Pt 0.8334 0.3332 0.2421  3 Al 2.65-2.72, 5 Fe 2.65-2.73, 4 Pt 2.79
Pt 0.5000 0.0000 0.7463  2 Al 2.65, 6 Fe 2.67-2.71, 4 Pt 2.79
Fe 0.0000 0.0000 0.0000  8 Pt 2.65-2.71, 4 Al 2.73
Pt 0.1666 0.6668 0.7579  3 Al 2.65-2.72, 5 Fe 2.65-2.73, 4 Pt 2.79
Fe 0.0000 0.0000 0.5000  8 Pt 2.67-2.73, 4 Fe 2.80
Pt 0.8334 0.3332 0.7579  3 Al 2.65-2.72, 5 Fe 2.65-2.73, 4 Pt 2.79
Al 0.3407 0.3186 0.0000  8 Pt 2.65-2.72, 2 Fe 2.73, 2 Al 2.91
Fe 0.6683 0.6633 0.5000  8 Pt 2.69-2.73, 4 Fe 2.76-2.80
Pt 0.1666 0.6668 0.2421  3 Al 2.65-2.72, 5 Fe 2.65-2.73, 4 Pt 2.79
Al 0.6593 0.6814 0.0000  8 Pt 2.65-2.72, 2 Fe 2.73, 2 Al 2.91

## Properties
ΔH_f (0 K): -0.5009 eV/atom
Space group: Cmmm (65)
D(E_F): 4.21 states/eV/f.u.

Below is a geometry-optimized Y2Mn12Co5 structure, with properties calculated at the PBE level.

Unit cell a=6.3293 b=6.3293 c=6.3293 alpha=85.22 beta=85.22 gamma=85.22
Closest atoms and distances in Å follow each position.
Atoms (fractional coordinates):
Mn 0.1276 0.6484 0.6484  3 Co 2.44-2.60, 6 Mn 2.58-2.65
Mn 0.7302 0.0000 0.2698  4 Mn 2.31-2.58, 2 Co 2.34
Co 0.0000 0.0000 0.5000  8 Mn 2.34-2.44, 2 Co 2.59
Y 0.3479 0.3479 0.3479  1 Co 2.92, 12 Mn 2.98-3.17
Mn 0.8724 0.3516 0.3516  3 Co 2.44-2.60, 6 Mn 2.58-2.65
Mn 0.0000 0.7302 0.2698  4 Mn 2.31-2.58, 2 Co 2.34
Mn 0.7302 0.2698 0.0000  4 Mn 2.31-2.58, 2 Co 2.34
Mn 0.2698 0.7302 0.0000  4 Mn 2.31-2.58, 2 Co 2.34
Mn 0.2698 0.0000 0.7302  4 Mn 2.31-2.58, 2 Co 2.34
Mn 0.0000 0.2698 0.7302  4 Mn 2.31-2.58, 2 Co 2.34
Mn 0.6484 0.6484 0.1276  3 Co 2.44-2.60, 6 Mn 2.58-2.65
Co 0.0000 0.5000 0.0000  8 Mn 2.34-2.44, 2 Co 2.59
Mn 0.3516 0.3516 0.8724  3 Co 2.44-2.60, 6 Mn 2.58-2.65
Co 0.5000 0.0000 0.0000  8 Mn 2.34-2.44, 2 Co 2.59
Y 0.6521 0.6521 0.6521  1 Co 2.92, 12 Mn 2.98-3.17
Mn 0.3516 0.8724 0.3516  3 Co 2.44-2.60, 6 Mn 2.58-2.65
Co 0.1013 0.1013 0.1013  4 Co 2.40-2.59, 9 Mn 2.60
Co 0.8987 0.8987 0.8987  4 Co 2.40-2.59, 9 Mn 2.60
Mn 0.6484 0.1276 0.6484  3 Co 2.44-2.60, 6 Mn 2.58-2.65

## Properties
ΔH_f (0 K): 0.0200 eV/atom
Space group: R-3m (166)
D(E_F): 21.55 states/eV/f.u.

Below is a geometry-optimized CaErBiO2 structure, with properties calculated at the PBE level.

Unit cell a=3.8973 b=3.8973 c=8.0175 alpha=104.07 beta=104.07 gamma=90.00
Closest atoms and distances in Å follow each position.
Atoms (fractional coordinates):
O 0.7455 0.2455 0.4911  2 Er 2.15, 2 Ca 2.24
O 0.2455 0.7455 0.4911  2 Er 2.15, 2 Ca 2.24
Er 0.1847 0.1847 0.3694  4 O 2.15
Bi 0.5051 0.5051 0.0102  4 Er 3.86, 4 Bi 3.90, 4 Ca 3.93, 4 O 4.11
Ca 0.8191 0.8191 0.6382  4 O 2.24

## Properties
Formation energy from raw total energies: -11.80 eV/f.u.
Space group: I4mm (107)
D(E_F): 1.13 states/eV/f.u.

Below is a geometry-optimized TiFe4Ag structure, with properties calculated at the PBE level.

Unit cell a=4.7938 b=4.7938 c=4.7938 alpha=60.00 beta=60.00 gamma=60.00
Closest atoms and distances in Å follow each position.
Atoms (fractional coordinates):
Fe 0.1245 0.6252 0.6252  6 Fe 2.39-2.40
Fe 0.6252 0.1245 0.6252  6 Fe 2.39-2.40
Fe 0.6252 0.6252 0.1245  6 Fe 2.39-2.40
Fe 0.6252 0.6252 0.6252  6 Fe 2.39-2.40
Ag 0.0000 0.0000 0.0000  12 Fe 2.81, 4 Ti 2.94
Ti 0.2500 0.2500 0.2500  12 Fe 2.81, 4 Ag 2.94

## Properties
ΔH_f (0 K): 0.0080 eV/atom
Space group: F-43m (216)
D(E_F): 8.60 states/eV/f.u.

Below is a geometry-optimized NiAgPt4 structure, with properties calculated at the PBE level.

Unit cell a=2.7737 b=2.7737 c=11.8964 alpha=90.00 beta=90.00 gamma=90.00
Closest atoms and distances in Å follow each position.
Atoms (fractional coordinates):
Ni 0.0000 0.0000 0.0000  8 Pt 2.63, 4 Ni 2.77
Pt 0.5000 0.5000 0.8531  4 Ni 2.63, 8 Pt 2.77-2.83
Ag 0.5000 0.5000 0.5000  4 Ag 2.77, 8 Pt 2.92
Pt 0.5000 0.5000 0.1469  4 Ni 2.63, 8 Pt 2.77-2.83
Pt 0.0000 0.0000 0.3184  8 Pt 2.77-2.83, 4 Ag 2.92
Pt 0.0000 0.0000 0.6816  8 Pt 2.77-2.83, 4 Ag 2.92

## Properties
E above lowest polymorph: 0.0 meV/atom
ΔH_f (0 K): -0.0381 eV/atom
Space group: P4/mmm (123)
D(E_F): 7.45 states/eV/f.u.

Below is a geometry-optimized ThScHgPd structure, with properties calculated at the PBE level.

Unit cell a=5.1048 b=5.1048 c=5.1048 alpha=60.00 beta=60.00 gamma=60.00
Closest atoms and distances in Å follow each position.
Atoms (fractional coordinates):
Pd 0.7500 0.7500 0.7500  4 Th 3.13, 4 Sc 3.13
Hg 0.2500 0.2500 0.2500  4 Th 3.13, 4 Sc 3.13
Th 0.5000 0.5000 0.5000  4 Hg 3.13, 4 Pd 3.13
Sc 0.0000 0.0000 0.0000  4 Hg 3.13, 4 Pd 3.13

## Properties
ΔH_f (0 K): -0.4432 eV/atom
Space group: F-43m (216)
D(E_F): 4.44 states/eV/f.u.

Below is a geometry-optimized Ho8AsSe4S3 structure, with properties calculated at the PBE level.

Unit cell a=7.9639 b=8.0512 c=7.9638 alpha=119.64 beta=120.00 gamma=90.00
Closest atoms and distances in Å follow each position.
Atoms (fractional coordinates):
Se 0.0000 0.0000 0.5000  6 Ho 2.94
Ho 0.2593 0.2778 0.5186  3 S 2.73, 3 Se 2.94
Se 0.0000 0.0000 0.0000  6 Ho 2.94
Ho 0.2645 0.2725 0.0184  2 S 2.73, 1 As 2.79, 3 Se 2.88-2.94
Ho 0.7540 0.2725 0.5080  2 S 2.73, 1 As 2.79, 3 Se 2.88-2.94
S 0.5000 0.5000 0.5000  6 Ho 2.73
Ho 0.7539 0.2725 0.0184  2 S 2.73, 1 As 2.79, 3 Se 2.88-2.94
S 0.0000 0.5000 0.5000  6 Ho 2.73
Se 0.5000 0.0000 0.0000  6 Ho 2.88
S 0.5000 0.5000 0.0000  6 Ho 2.73
Ho 0.7407 0.7222 0.4814  3 S 2.73, 3 Se 2.94
Ho 0.7355 0.7275 0.9816  2 S 2.73, 1 As 2.79, 3 Se 2.88-2.94
Ho 0.2460 0.7275 0.4920  2 S 2.73, 1 As 2.79, 3 Se 2.88-2.94
Ho 0.2461 0.7275 0.9816  2 S 2.73, 1 As 2.79, 3 Se 2.88-2.94
Se 0.5000 0.0000 0.5000  6 Ho 2.94
As 0.0000 0.5000 0.0000  6 Ho 2.79

## Properties
Formation energy from raw total energies: -29.10 eV/f.u.
Space group: R-3m (166)
D(E_F): 5.07 states/eV/f.u.

Below is a geometry-optimized Mg2AgTeO6 structure, with properties calculated at the PBE level.

Unit cell a=5.2142 b=5.4399 c=5.9055 alpha=58.60 beta=62.94 gamma=61.01
Closest atoms and distances in Å follow each position.
Atoms (fractional coordinates):
Te 0.3211 0.3258 0.0327  6 O 1.93-2.00
O 0.1401 0.3943 0.7618  1 Te 2.00, 2 Mg 2.07-2.19, 1 Ag 2.17
O 0.3807 0.7243 0.7786  1 Te 1.97, 1 Mg 2.05, 1 Ag 2.15
Mg 0.0172 0.0067 0.9631  5 O 2.02-2.18
O 0.6907 0.1658 0.7813  1 Te 1.95, 2 Mg 2.02-2.16
Ag 0.8067 0.8143 0.5775  4 O 2.15-2.33
O 0.2366 0.9338 0.2406  1 Te 1.99, 2 Mg 2.09-2.18
O 0.5854 0.2299 0.2418  1 Te 1.97, 1 Mg 2.10
O 0.9510 0.5624 0.2172  1 Te 1.93, 1 Mg 2.05
Mg 0.5323 0.5042 0.4205  5 O 2.05-2.19

## Properties
Formation energy from raw total energies: -14.99 eV/f.u.
Space group: P1 (1)
D(E_F): 0.75 states/eV/f.u.

Below is a geometry-optimized KRb6OF structure, with properties calculated at the PBE level.

Unit cell a=7.8124 b=7.8124 c=9.3940 alpha=90.00 beta=90.00 gamma=60.00
Closest atoms and distances in Å follow each position.
Atoms (fractional coordinates):
K 0.0000 0.0000 0.0000  6 Rb 4.38
Rb 0.0149 0.3898 0.3290  1 O 2.80, 1 F 2.96
Rb 0.3898 0.0149 0.6710  1 O 2.80, 1 F 2.96
Rb 0.5952 0.0150 0.3290  1 O 2.80, 1 F 2.96
Rb 0.5952 0.3898 0.6710  1 O 2.80, 1 F 2.96
O 0.3333 0.3333 0.5000  6 Rb 2.80
Rb 0.3898 0.5953 0.3290  1 O 2.80, 1 F 2.96
Rb 0.0149 0.5952 0.6710  1 O 2.80, 1 F 2.96
F 0.6666 0.6667 0.5000  6 Rb 2.96

## Properties
Formation energy from raw total energies: -7.75 eV/f.u.
Space group: P312 (149)
D(E_F): 3.89 states/eV/f.u.